Computed, not measured: crystalline TmGeIr at its relaxed geometry at the GGA-PBE level of DFT.

```
3
Lattice="3.3125 0.0000 0.0000 0.0000 4.4113 0.0000 0.0000 -2.2056 3.8203" Properties=species:S:1:pos:R:3 pbc="T T T"
Ir 0.5518 0.0000 0.0000
Ge 0.5523 2.2056 1.2734
Tm 2.2084 0.0000 2.5469
```

Output
Energy of formation = -241 kJ/mol of formula units
Density = 12.9 g cm⁻³
DOS at the Fermi energy = 0.53 states/eV per atom
Space group = P-6m2


Computed, not measured: crystalline TmGeIr at its relaxed geometry at the GGA-PBE level of DFT.

```
12
Lattice="7.2192 -0.3130 0.0000 -3.0293 6.5603 0.0000 -2.0949 -3.1237 5.2839" Properties=species:S:1:pos:R:3 pbc="T T T"
Tm 2.8523 1.4836 1.3210
Tm 1.8048 -0.0783 3.9629
Tm 1.3376 4.7637 1.3210
Tm -1.8048 0.0783 3.9629
Ge -3.1825 4.3987 2.6420
Ge -1.3615 5.4418 0.0000
Ge 5.5514 0.8055 0.0000
Ge 0.1532 2.1616 2.6420
Ir -1.5147 3.2802 1.1522
Ir -1.5147 3.2802 4.1317
Ir 2.0949 3.1237 3.7942
Ir 0.0000 0.0000 1.4898
```

Output
Energy of formation = -170 kJ/mol of formula units
Density = 11.7 g cm⁻³
DOS at the Fermi energy = 0.68 states/eV per atom
Space group = Fddd


Computed, not measured: crystalline TmGe2Ir2 at its relaxed geometry at the GGA-PBE level of DFT.

```
10
Lattice="0.7947 -3.0908 5.4692 5.3900 -2.5488 -2.1328 0.8203 5.3485 0.8772" Properties=species:S:1:pos:R:3 pbc="T T T"
Ge 1.6541 0.4143 4.8601
Ge 5.3508 -0.7054 -0.6464
Ge 4.6794 1.8413 1.5814
Ge 2.3255 -2.1324 2.6323
Tm 4.6977 -0.2839 4.0801
Tm 2.3073 -0.0072 0.1336
Ir 6.2036 -0.1063 1.5889
Ir 2.3897 2.6284 1.1144
Ir 0.8014 -0.1848 2.6248
Ir 4.6153 -2.9196 3.0993
```

Output
Energy of formation = -245 kJ/mol of formula units
Density = 11.8 g cm⁻³
DOS at the Fermi energy = 0.39 states/eV per atom
Space group = C2/c


Computed, not measured: crystalline TmGe12Ir4 at its relaxed geometry at the GGA-PBE level of DFT.

```
17
Lattice="7.5118 0.0000 0.0000 -2.5039 7.0822 0.0000 -2.5039 -3.5411 6.1334" Properties=species:S:1:pos:R:3 pbc="T T T"
Ge 4.0303 -1.2406 4.0069
Ge -0.0091 -1.6221 5.2043
Ge 3.4816 2.8498 3.0779
Ge 0.0091 3.6960 4.0070
Ge 1.5263 0.5493 5.2043
Ge -0.9776 0.6913 3.0555
Ge 2.4948 -0.1549 2.1264
Ge -1.5263 4.7817 2.1264
Ge -2.5131 1.7770 4.9361
Ge 5.0170 1.7641 1.1973
Ge 2.5131 5.1632 0.9291
Ge 0.9776 2.9918 0.9291
Ir 1.2520 1.7706 3.0667
Ir -1.2520 3.5411 0.0000
Ir -1.2520 -1.7706 3.0667
Ir 3.7559 0.0000 0.0000
Tm 0.0000 0.0000 0.0000
```

Output
Energy of formation = -296 kJ/mol of formula units
Density = 9.2 g cm⁻³
DOS at the Fermi energy = 0.58 states/eV per atom
Space group = Im-3


Computed, not measured: crystalline TmGe4Ir2 at its relaxed geometry at the GGA-PBE level of DFT.

```
7
Lattice="-1.2345 0.1408 4.0014 -3.4490 -2.0531 1.2018 3.3126 -7.7973 3.4899" Properties=species:S:1:pos:R:3 pbc="T T T"
Ir -1.9944 -2.9318 3.8751
Ir 0.6236 -6.7778 4.8181
Tm 0.0000 0.0000 0.0000
Ge -0.7991 -7.6187 6.6024
Ge 1.4246 -5.0237 2.8099
Ge -2.7955 -4.6859 5.8833
Ge -0.5718 -2.0909 2.0908
```

Output
Energy of formation = -206 kJ/mol of formula units
Density = 10.4 g cm⁻³
DOS at the Fermi energy = 0.58 states/eV per atom
Space group = R-3m


Computed, not measured: crystalline Tm2Ge5Ir3 at its relaxed geometry at the GGA-PBE level of DFT.

```
20
Lattice="-3.5408 -2.2157 0.3105 1.6284 -1.6971 6.4599 -4.1257 11.1065 3.9578" Properties=species:S:1:pos:R:3 pbc="T T T"
Ge -4.0894 7.3381 5.7306
Ge -4.1987 3.0273 1.9713
Ge -6.9810 7.8133 4.3960
Ge -1.5289 -0.5819 6.6626
Ge -2.6012 4.9604 5.7346
Ge 0.3885 -0.0418 4.1328
Ge -3.4742 2.2545 4.7198
Ge -5.0310 5.2346 8.2334
Ge -1.9306 4.2792 8.5207
Ge -0.9614 1.9114 2.6764
Ir -4.6313 7.8646 3.3083
Ir -2.1878 0.1430 4.3219
Ir -3.8617 3.2146 7.1524
Ir -2.2444 4.0499 3.3060
Ir 0.9344 -0.5617 6.6478
Ir -6.2853 7.0392 6.8064
Tm -1.6139 -1.1153 1.8868
Tm -5.2089 4.9774 4.3685
Tm -0.8654 2.2539 6.2162
Tm -4.4492 8.3350 8.7423
```

Output
Energy of formation = -668 kJ/mol of formula units
Density = 12.0 g cm⁻³
DOS at the Fermi energy = 0.41 states/eV per atom
Space group = Cmc2_1


Computed, not measured: crystalline TmGe7Ir3 at its relaxed geometry at the GGA-PBE level of DFT.

```
22
Lattice="6.9584 0.0000 3.7475 2.4701 6.5053 3.7475 -0.0030 -0.0021 8.3396" Properties=species:S:1:pos:R:3 pbc="T T T"
Ge 6.8193 0.9707 8.9642
Ge 3.8516 3.7242 11.0402
Ge 2.3564 1.6258 3.9587
Ge 7.5669 4.3429 9.1000
Ge 2.0304 2.2788 9.5223
Ge 5.5739 2.7790 4.7944
Ge 4.6006 6.0306 9.6494
Ge 2.6062 5.5325 6.8705
Ge 1.8586 2.1603 6.7346
Ge 5.0283 5.4140 5.4797
Ge 7.0691 4.8774 11.8760
Ge 7.3951 4.2244 6.3123
Ge 4.3972 1.0892 10.3550
Ge 4.8249 0.4726 6.1852
Tm 0.0000 0.0000 0.0000
Tm 4.7127 3.2516 7.9173
Ir 3.1616 0.4555 8.1284
Ir 3.1474 3.7092 5.1588
Ir 6.2639 6.0477 7.7062
Ir 6.2781 2.7940 10.6758
Ir 7.0863 1.6258 6.5060
Ir 2.3392 4.8774 9.3286
```

Output
Energy of formation = -487 kJ/mol of formula units
Density = 11.0 g cm⁻³
DOS at the Fermi energy = 0.08 states/eV per atom
Space group = R-3c


Computed, not measured: crystalline TmGe4Ir4 at its relaxed geometry at the GGA-PBE level of DFT.

```
18
Lattice="-0.9686 -1.9325 -3.5142 1.6787 -7.5994 3.7162 -8.2136 -0.5574 2.5703" Properties=species:S:1:pos:R:3 pbc="T T T"
Ge -4.0487 -5.8037 4.3073
Ge -0.8203 -7.6269 1.9982
Ge -2.2213 -6.9496 -0.4100
Ge -6.6831 -2.4624 0.7741
Ge -6.2507 -5.0721 -0.3318
Ge -6.2378 -7.3978 3.3655
Ge -1.2656 -2.6914 -0.5930
Ge -2.4861 -2.3532 1.9792
Ir -3.8101 -2.2653 -0.1261
Ir -1.3969 -7.2941 4.3960
Ir -6.5932 -5.3776 4.7743
Ir -0.6761 -5.3500 0.7064
Ir -6.8274 -4.7393 2.0660
Ir 0.0584 -2.7793 1.5123
Ir -3.6934 -7.8240 2.8984
Ir -5.1379 -0.8627 1.8905
Tm 0.0000 0.0000 0.0000
Tm -3.7517 -5.0447 1.3862
```

Output
Energy of formation = -278 kJ/mol of formula units
Density = 13.3 g cm⁻³
DOS at the Fermi energy = 0.34 states/eV per atom
Space group = I4/m


Computed, not measured: crystalline Tm2Ge3Ir at its relaxed geometry at the GGA-PBE level of DFT.

```
6
Lattice="-2.0909 2.4193 2.9734 -0.1759 -2.3889 5.0261 3.6019 3.0235 3.2788" Properties=species:S:1:pos:R:3 pbc="T T T"
Ir 0.5982 0.3645 3.3302
Tm 0.0851 0.0801 6.4069
Tm 1.3750 3.0155 4.9254
Ge -1.3387 1.7213 4.0703
Ge 2.8227 1.3404 7.3065
Ge 0.4631 2.6402 7.7957
```

Output
Energy of formation = -424 kJ/mol of formula units
Density = 10.6 g cm⁻³
DOS at the Fermi energy = 0.49 states/eV per atom
Space group = Cm


Computed, not measured: crystalline Tm3Ge2Ir2 at its relaxed geometry at the GGA-PBE level of DFT.

```
28
Lattice="5.5680 0.0000 0.0000 0.0000 7.6980 0.0000 0.0000 0.0000 13.2333" Properties=species:S:1:pos:R:3 pbc="T T T"
Tm 0.8152 6.8959 11.9166
Tm 3.4691 5.6916 3.3083
Tm 3.4691 5.8555 9.9249
Tm 0.8152 4.6512 5.3000
Tm 4.7529 0.8021 1.3167
Tm 0.8152 4.6512 1.3167
Tm 0.8152 6.8959 7.9333
Tm 4.7529 3.0469 11.9166
Tm 4.7529 0.8021 5.3000
Tm 2.0989 1.8425 3.3083
Tm 2.0989 2.0065 9.9249
Tm 4.7529 3.0469 7.9333
Ir 2.0485 7.3334 1.2356
Ir 3.5195 3.4844 1.2356
Ir 2.0485 4.2137 11.9977
Ir 3.5195 0.3646 7.8522
Ir 2.0485 4.2137 7.8522
Ir 3.5195 0.3646 11.9977
Ir 2.0485 7.3334 5.3811
Ir 3.5195 3.4844 5.3811
Ge 3.6942 5.7735 0.0000
Ge 1.8738 1.9245 6.6166
Ge 0.6549 6.8607 3.3083
Ge 3.6942 5.7735 6.6166
Ge 1.8738 1.9245 0.0000
Ge 4.9131 0.8374 9.9249
Ge 4.9131 3.0117 3.3083
Ge 0.6549 4.6864 9.9249
```

Output
Energy of formation = -622 kJ/mol of formula units
Density = 12.1 g cm⁻³
DOS at the Fermi energy = 0.55 states/eV per atom
Space group = Pbcm


Computed, not measured: crystalline Tm2GeIr at its relaxed geometry at the GGA-PBE level of DFT.

```
8
Lattice="4.1268 0.0000 0.0000 0.0000 5.7265 -0.0493 0.0000 -2.9214 7.3677" Properties=species:S:1:pos:R:3 pbc="T T T"
Tm 3.0951 0.1128 3.0080
Tm 1.0317 4.3569 0.3888
Tm 3.0951 -1.5518 6.9296
Tm 1.0317 2.6923 4.3104
Ir 3.0951 1.3935 5.7647
Ir 1.0317 1.4116 1.5537
Ge 1.0317 -0.1940 5.1856
Ge 3.0951 2.9991 2.1328
```

Output
Energy of formation = -344 kJ/mol of formula units
Density = 11.5 g cm⁻³
DOS at the Fermi energy = 0.73 states/eV per atom
Space group = P2_1/m


Computed, not measured: crystalline TmGe2Ir at its relaxed geometry at the GGA-PBE level of DFT.

```
16
Lattice="-4.0713 -1.0171 -0.4768 1.6203 -8.0540 3.3456 -2.7873 -1.7645 8.8620" Properties=species:S:1:pos:R:3 pbc="T T T"
Tm -3.9012 -3.9118 4.2323
Tm -1.5881 -7.7256 11.3381
Tm -3.6502 -3.1099 0.3927
Tm -1.3371 -6.9238 7.4984
Ge -0.6480 -8.1335 4.2535
Ge -3.7752 -6.7212 9.1671
Ge -1.4631 -4.1144 2.5636
Ge -2.4049 -1.6620 5.3466
Ge -4.5903 -2.7020 7.4772
Ge -1.9121 -4.1113 6.3644
Ge -2.8333 -9.1735 6.3841
Ge -3.3262 -6.7243 5.3664
Ir -1.2701 -5.7450 4.4199
Ir -3.9682 -5.0905 7.3108
Ir -3.1589 -9.1143 8.9822
Ir -2.0794 -1.7213 2.7486
```

Output
Energy of formation = -300 kJ/mol of formula units
Density = 11.1 g cm⁻³
DOS at the Fermi energy = 0.34 states/eV per atom
Space group = C2/m